1.
The following is a PBE calculation of AcPm2Nd8 after structural relaxation, from Alexandria via LeMat-Bulk.

Cell lengths 10.556, 10.556, 5.731 Å; angles 93.74, 93.74, 40.08 degrees
Atoms (fractional coordinates):
Ac (0.000, 0.000, 0.000)
Pm (0.285, 0.285, 0.748)
Pm (0.715, 0.715, 0.252)
Nd (0.135, 0.598, 0.272)
Nd (0.189, 0.189, 0.232)
Nd (0.402, 0.865, 0.728)
Nd (0.456, 0.456, 0.759)
Nd (0.544, 0.544, 0.241)
Nd (0.598, 0.135, 0.272)
Nd (0.811, 0.811, 0.768)
Nd (0.865, 0.402, 0.728)

---

2.
The following is a PBE calculation of Ac2Pm7Nd2 after structural relaxation, from Alexandria via LeMat-Bulk.

Cell lengths 7.961, 7.961, 8.874 Å; angles 111.07, 111.07, 53.21 degrees
Atoms (fractional coordinates):
Ac (0.248, 0.752, 0.000)
Ac (0.752, 0.248, 0.000)
Pm (0.000, 0.000, 0.500)
Pm (0.053, 0.557, 0.212)
Pm (0.427, 0.427, 0.609)
Pm (0.443, 0.947, 0.788)
Pm (0.557, 0.053, 0.212)
Pm (0.573, 0.573, 0.391)
Pm (0.947, 0.443, 0.788)
Nd (0.176, 0.176, 0.393)
Nd (0.824, 0.824, 0.607)

---

3.
The following is a PBE calculation of Ac2Pm6Nd5 after structural relaxation, from Alexandria via LeMat-Bulk.

Cell lengths 12.185, 21.043, 3.722 Å; angles 90.00, 90.00, 90.00 degrees
Atoms (fractional coordinates):
Ac (0.168, 0.221, 0.000)
Ac (0.332, 0.721, 0.000)
Ac (0.668, 0.279, 0.000)
Ac (0.832, 0.779, 0.000)
Pm (0.060, 0.926, 0.000)
Pm (0.072, 0.638, 0.000)
Pm (0.183, 0.378, 0.500)
Pm (0.317, 0.878, 0.500)
Pm (0.428, 0.138, 0.000)
Pm (0.440, 0.426, 0.000)
Pm (0.560, 0.574, 0.000)
Pm (0.572, 0.862, 0.000)
Pm (0.683, 0.122, 0.500)
Pm (0.817, 0.622, 0.500)
Pm (0.928, 0.362, 0.000)
Pm (0.940, 0.074, 0.000)
Nd (0.000, 0.500, 0.500)
Nd (0.091, 0.783, 0.500)
Nd (0.202, 0.055, 0.500)
Nd (0.298, 0.555, 0.500)
Nd (0.409, 0.283, 0.500)
Nd (0.500, 0.000, 0.500)
Nd (0.591, 0.717, 0.500)
Nd (0.702, 0.445, 0.500)
Nd (0.798, 0.945, 0.500)
Nd (0.909, 0.217, 0.500)

---

4.
The following is a PBE calculation of Ac3Pm2Nd after structural relaxation, from Alexandria via LeMat-Bulk.

Cell lengths 7.201, 7.201, 9.450 Å; angles 97.65, 97.65, 96.26 degrees
Atoms (fractional coordinates):
Ac (0.056, 0.944, 0.750)
Ac (0.205, 0.368, 0.023)
Ac (0.368, 0.205, 0.523)
Ac (0.632, 0.795, 0.477)
Ac (0.795, 0.632, 0.977)
Ac (0.944, 0.056, 0.250)
Pm (0.116, 0.618, 0.381)
Pm (0.382, 0.884, 0.119)
Pm (0.618, 0.116, 0.881)
Pm (0.884, 0.382, 0.619)
Nd (0.379, 0.621, 0.750)
Nd (0.621, 0.379, 0.250)

---

Calculated V, 37.29, 37.49, 36.71, 39.78 Å³ per atom (same order as the records).
Calculated M_tot, 0.00, 0.00, 0.00, 0.00 Bohr magnetons per cell (same order as the records).
Calculated DFT formation energy, 0.13, 0.25, 0.10, 0.10 eV per atom (same order as the records).